Computed, not measured: an optimized crystal structure of NdNiGe2Pd at the PBE level of DFT.

POSCAR file:
```
NdNiGe2Pd
1.0
4.2536 0.0000 0.0000
0.0000 4.2536 0.0000
-2.1268 -2.1268 5.0395
Nd Ni Ge Pd
1 1 2 1
Direct
0.0000 0.0000 0.0000 Nd
0.2500 0.7500 0.5000 Ni
0.6259 0.6259 0.2517 Ge
0.3741 0.3741 0.7483 Ge
0.7500 0.2500 0.5000 Pd
```

Computed properties:
D(E_F) in states/eV per cell: 2.65
DFT total energy in eV for the cell shown: -28.66
ΔH_f (0 K) in eV per atom: -0.7361
Total magnetic moment in μB/f.u.: 0.00
Space group: No. 119